Here is a relaxed structure of NdHo2Tm5 from Alexandria. Energies are from PBE-GGA.

a = 6.412 Å, b = 9.229 Å, c = 9.838 Å
α = 108.49°, β = 102.91°, γ = 105.99°
Sites, in units of the cell vectors:
Nd 0.205 0.431 0.463
Nd 0.795 0.569 0.537
Ho 0.254 0.933 0.804
Ho 0.407 0.295 0.165
Ho 0.593 0.705 0.835
Ho 0.746 0.067 0.196
Tm 0.003 0.838 0.403
Tm 0.043 0.514 0.839
Tm 0.131 0.884 0.109
Tm 0.485 0.170 0.477
Tm 0.498 0.667 0.155
Tm 0.502 0.333 0.845
Tm 0.515 0.830 0.523
Tm 0.869 0.116 0.891
Tm 0.957 0.486 0.161
Tm 0.997 0.162 0.597

Formation energy   123.6 meV per atom
Total moment   0.000 μB/cell
Calculated volume   499.0 Å³ per cell
ρ   8.78 g/cm3



Here is a relaxed structure of InRe2W from Alexandria. Energies are from PBE-GGA.

a = 3.181 Å, b = 3.181 Å, c = 6.580 Å
α = 90.00°, β = 90.00°, γ = 90.00°
Sites, in units of the cell vectors:
In 0.000 0.000 0.000
Re 0.500 0.500 0.272
Re 0.500 0.500 0.728
W 0.000 0.000 0.500

Formation energy   345.4 meV per atom
Total moment   0.000 μB/cell
Calculated volume   66.6 Å³ per cell
ρ   16.74 g/cm3



Here is a relaxed structure of Ho15TmIn4 from Alexandria. Energies are from PBE-GGA.

a = 4.833 Å, b = 4.833 Å, c = 24.504 Å
α = 90.00°, β = 90.00°, γ = 90.00°
Sites, in units of the cell vectors:
Ho 0.000 0.000 0.000
Ho 0.000 0.000 0.204
Ho 0.000 0.000 0.402
Ho 0.000 0.000 0.598
Ho 0.000 0.000 0.796
Ho 0.000 0.500 0.104
Ho 0.000 0.500 0.303
Ho 0.000 0.500 0.500
Ho 0.000 0.500 0.697
Ho 0.000 0.500 0.896
Ho 0.500 0.000 0.104
Ho 0.500 0.000 0.303
Ho 0.500 0.000 0.500
Ho 0.500 0.000 0.697
Ho 0.500 0.000 0.896
Tm 0.500 0.500 0.000
In 0.500 0.500 0.205
In 0.500 0.500 0.401
In 0.500 0.500 0.599
In 0.500 0.500 0.795

Formation energy   -200.9 meV per atom
Total moment   0.016 μB/cell
Calculated volume   572.4 Å³ per cell
ρ   9.00 g/cm3



Here is a relaxed structure of Hf5Ti2Sn5 from Alexandria. Energies are from PBE-GGA.

a = 7.044 Å, b = 7.044 Å, c = 10.441 Å
α = 116.23°, β = 116.23°, γ = 34.07°
Sites, in units of the cell vectors:
Hf 0.000 0.000 0.000
Hf 0.103 0.103 0.760
Hf 0.158 0.158 0.488
Hf 0.842 0.842 0.512
Hf 0.897 0.897 0.240
Ti 0.414 0.414 0.754
Ti 0.586 0.586 0.246
Sn 0.244 0.244 0.270
Sn 0.348 0.348 0.009
Sn 0.500 0.500 0.500
Sn 0.652 0.652 0.991
Sn 0.756 0.756 0.730

Formation energy   -234.6 meV per atom
Total moment   0.000 μB/cell
Calculated volume   257.4 Å³ per cell
ρ   10.21 g/cm3



Here is a relaxed structure of Rb2NaWI6 from Alexandria. Energies are from PBE-GGA.

a = 8.430 Å, b = 8.430 Å, c = 8.430 Å
α = 60.00°, β = 60.00°, γ = 60.00°
Sites, in units of the cell vectors:
Rb 0.250 0.250 0.250
Rb 0.750 0.750 0.750
Na 0.000 0.000 0.000
W 0.500 0.500 0.500
I 0.265 0.265 0.735
I 0.265 0.735 0.265
I 0.265 0.735 0.735
I 0.735 0.265 0.265
I 0.735 0.265 0.735
I 0.735 0.735 0.265

Total moment   3.000 μB/cell
Formation energy from raw total energies   -0.76 eV/atom
Calculated volume   423.6 Å³ per cell
ρ   4.47 g/cm3



Here is a relaxed structure of Ta7Se12S from Alexandria. Energies are from PBE-GGA.

a = 8.135 Å, b = 8.135 Å, c = 8.135 Å
α = 107.79°, β = 107.79°, γ = 107.79°
Sites, in units of the cell vectors:
Ta 0.000 0.000 0.000
Ta 0.171 0.378 0.443
Ta 0.378 0.443 0.171
Ta 0.443 0.171 0.378
Ta 0.557 0.829 0.622
Ta 0.622 0.557 0.829
Ta 0.829 0.622 0.557
Se 0.020 0.347 0.100
Se 0.100 0.020 0.347
Se 0.185 0.716 0.577
Se 0.284 0.423 0.815
Se 0.347 0.100 0.020
Se 0.423 0.815 0.284
Se 0.577 0.185 0.716
Se 0.653 0.900 0.980
Se 0.716 0.577 0.185
Se 0.815 0.284 0.423
Se 0.900 0.980 0.653
Se 0.980 0.653 0.900
S 0.500 0.500 0.500

Total moment   0.000 μB/cell
Formation energy from raw total energies   -0.63 eV/atom
Calculated volume   438.3 Å³ per cell
ρ   8.51 g/cm3



Here is a relaxed structure of PuTh4Se5 from Alexandria. Energies are from PBE-GGA.

a = 7.259 Å, b = 7.259 Å, c = 7.259 Å
α = 99.60°, β = 99.60°, γ = 131.79°
Sites, in units of the cell vectors:
Pu 0.000 0.000 0.000
Th 0.197 0.402 0.599
Th 0.402 0.803 0.205
Th 0.598 0.197 0.795
Th 0.803 0.598 0.401
Se 0.101 0.706 0.807
Se 0.294 0.101 0.395
Se 0.500 0.500 0.000
Se 0.706 0.899 0.605
Se 0.899 0.294 0.193

Total moment   5.654 μB/cell
Formation energy from raw total energies   -1.54 eV/atom
Calculated volume   260.3 Å³ per cell
ρ   9.99 g/cm3



Here is a relaxed structure of Ac2GeRh6C from Alexandria. Energies are from PBE-GGA.

a = 6.371 Å, b = 6.371 Å, c = 6.371 Å
α = 60.00°, β = 60.00°, γ = 60.00°
Sites, in units of the cell vectors:
Ac 0.250 0.250 0.250
Ac 0.750 0.750 0.750
Ge 0.000 0.000 0.000
Rh 0.271 0.271 0.729
Rh 0.271 0.729 0.271
Rh 0.271 0.729 0.729
Rh 0.729 0.271 0.271
Rh 0.729 0.271 0.729
Rh 0.729 0.729 0.271
C 0.500 0.500 0.500

Formation energy   -463.4 meV per atom
Total moment   0.000 μB/cell
Calculated volume   182.9 Å³ per cell
ρ   10.50 g/cm3